(1)
! BaNiSnS2 PBE-GGA relaxed; values from VASP
&SYSTEM
  ibrav = 0, nat = 5, ntyp = 4
/
ATOMIC_SPECIES
Ba 137.33 Ba.upf
Ni 58.69 Ni.upf
Sn 118.71 Sn.upf
S 32.06 S.upf
ATOMIC_POSITIONS crystal
Ba 0.000 0.000 0.000
Ni 0.500 0.500 0.000
Sn 0.000 0.000 0.500
S 0.000 0.500 0.500
S 0.500 0.000 0.500
CELL_PARAMETERS angstrom
5.015 0.000 0.000
0.000 5.015 0.000
0.000 0.000 6.637
! energy relative to the elements, uncorrected = 0.480 eV per atom
! size of the total moment = 0.28 μB/atom
! D(E_F) = 1.45 states/eV/atom
! electronic total energy = -17.56 eV/cell

***

(2)
! K3ZrSn2O9 PBE-GGA relaxed; values from VASP
&SYSTEM
  ibrav = 0, nat = 15, ntyp = 4
/
ATOMIC_SPECIES
K 39.10 K.upf
Zr 91.22 Zr.upf
Sn 118.71 Sn.upf
O 16.00 O.upf
ATOMIC_POSITIONS crystal
K 0.000 0.000 0.000
K 0.333 0.667 0.668
K 0.667 0.333 0.332
Zr 0.000 0.000 0.500
Sn 0.333 0.667 0.166
Sn 0.667 0.333 0.834
O 0.000 0.500 0.000
O 0.168 0.336 0.331
O 0.168 0.832 0.331
O 0.336 0.168 0.669
O 0.500 0.000 0.000
O 0.500 0.500 0.000
O 0.664 0.832 0.331
O 0.832 0.168 0.669
O 0.832 0.664 0.669
CELL_PARAMETERS angstrom
5.916 0.000 0.000
-2.958 5.124 0.000
0.000 0.000 7.242
! energy relative to the elements, uncorrected = -1.680 eV per atom
! size of the total moment = 0.20 μB/atom
! D(E_F) = 0.69 states/eV/atom
! electronic total energy = -89.67 eV/cell

***

(3)
! MnCo2NiH PBE-GGA relaxed; values from VASP
&SYSTEM
  ibrav = 0, nat = 5, ntyp = 4
/
ATOMIC_SPECIES
Mn 54.94 Mn.upf
Co 58.93 Co.upf
Ni 58.69 Ni.upf
H 1.01 H.upf
ATOMIC_POSITIONS crystal
Mn 0.000 0.000 0.000
Co 0.000 0.500 0.500
Co 0.500 0.000 0.500
Ni 0.500 0.500 0.000
H 0.000 0.000 0.500
CELL_PARAMETERS angstrom
3.575 0.000 0.000
0.000 3.575 0.000
0.000 0.000 3.694
! size of the total moment = 1.22 μB/atom
! D(E_F) = 1.39 states/eV/atom
! electronic total energy = -32.45 eV/cell
! energy above the lowest structure with this stoichiometry = 5 meV per atom

***

(4)
! Ac3PrPu2Se6 PBE-GGA relaxed; values from VASP
&SYSTEM
  ibrav = 0, nat = 12, ntyp = 4
/
ATOMIC_SPECIES
Ac 227.00 Ac.upf
Pr 140.91 Pr.upf
Pu 244.00 Pu.upf
Se 78.96 Se.upf
ATOMIC_POSITIONS crystal
Ac 0.000 0.000 0.000
Ac 0.335 0.665 0.000
Ac 0.665 0.335 0.000
Pr 0.500 0.500 0.500
Pu 0.167 0.833 0.500
Pu 0.833 0.167 0.500
Se 0.083 0.422 0.268
Se 0.237 0.237 0.730
Se 0.422 0.083 0.268
Se 0.578 0.917 0.732
Se 0.763 0.763 0.270
Se 0.917 0.578 0.732
CELL_PARAMETERS angstrom
3.741 -6.482 0.000
3.741 6.482 0.000
-2.494 0.000 7.112
! energy relative to the elements, uncorrected = -1.747 eV per atom
! size of the total moment = 0.98 μB/atom
! D(E_F) = 1.72 states/eV/atom
! electronic total energy = -87.64 eV/cell

***

(5)
! AlRu2Rh PBE-GGA relaxed; values from VASP
&SYSTEM
  ibrav = 0, nat = 16, ntyp = 3
/
ATOMIC_SPECIES
Al 26.98 Al.upf
Ru 101.07 Ru.upf
Rh 102.91 Rh.upf
ATOMIC_POSITIONS crystal
Al 0.000 0.000 0.000
Al 0.000 0.500 0.500
Al 0.500 0.000 0.500
Al 0.500 0.500 0.000
Ru 0.000 0.000 0.500
Ru 0.000 0.500 0.000
Ru 0.250 0.250 0.750
Ru 0.250 0.750 0.250
Ru 0.500 0.000 0.000
Ru 0.500 0.500 0.500
Ru 0.750 0.250 0.250
Ru 0.750 0.750 0.750
Rh 0.250 0.250 0.250
Rh 0.250 0.750 0.750
Rh 0.750 0.250 0.750
Rh 0.750 0.750 0.250
CELL_PARAMETERS angstrom
6.122 0.000 0.000
0.000 6.122 0.000
0.000 0.000 6.122
! energy of formation = -106 meV per atom
! size of the total moment = 0.66 μB/atom
! D(E_F) = 1.49 states/eV/atom
! electronic total energy = -120.28 eV/cell

***

(6)
! Pm2PrPb3 PBE-GGA relaxed; values from VASP
&SYSTEM
  ibrav = 0, nat = 12, ntyp = 3
/
ATOMIC_SPECIES
Pm 145.00 Pm.upf
Pr 140.91 Pr.upf
Pb 207.20 Pb.upf
ATOMIC_POSITIONS crystal
Pm 0.000 0.000 0.000
Pm 0.000 0.000 0.500
Pm 0.333 0.667 0.000
Pm 0.667 0.333 0.000
Pr 0.333 0.667 0.500
Pr 0.667 0.333 0.500
Pb 0.166 0.834 0.246
Pb 0.166 0.834 0.754
Pb 0.500 0.500 0.246
Pb 0.500 0.500 0.754
Pb 0.834 0.166 0.246
Pb 0.834 0.166 0.754
CELL_PARAMETERS angstrom
2.960 -8.898 0.000
2.960 8.898 0.000
0.000 0.000 6.943
! energy of formation = -477 meV per atom
! size of the total moment = 0.19 μB/atom
! D(E_F) = 1.15 states/eV/atom
! electronic total energy = -56.54 eV/cell
! energy above the lowest structure with this stoichiometry = 13 meV per atom

***

(7)
! LaIn2As2Rh7 PBE-GGA relaxed; values from VASP
&SYSTEM
  ibrav = 0, nat = 12, ntyp = 4
/
ATOMIC_SPECIES
La 138.91 La.upf
In 114.82 In.upf
As 74.92 As.upf
Rh 102.91 Rh.upf
ATOMIC_POSITIONS crystal
La 0.000 0.000 0.000
In 0.115 0.115 0.400
In 0.885 0.885 0.600
As 0.407 0.407 0.745
As 0.593 0.593 0.255
Rh 0.058 0.559 0.157
Rh 0.374 0.374 0.579
Rh 0.441 0.942 0.843
Rh 0.500 0.500 0.000
Rh 0.559 0.058 0.157
Rh 0.626 0.626 0.421
Rh 0.942 0.441 0.843
CELL_PARAMETERS angstrom
2.800 -2.785 0.000
2.800 2.785 0.000
-2.063 0.000 14.387
! energy of formation = -265 meV per atom
! size of the total moment = 0.00 μB/atom
! D(E_F) = 1.06 states/eV/atom
! electronic total energy = -74.34 eV/cell

***

(8)
! TbFe2Pd7 PBE-GGA relaxed; values from VASP
&SYSTEM
  ibrav = 0, nat = 10, ntyp = 3
/
ATOMIC_SPECIES
Tb 158.93 Tb.upf
Fe 55.84 Fe.upf
Pd 106.42 Pd.upf
ATOMIC_POSITIONS crystal
Tb 0.000 0.000 0.000
Fe 0.303 0.697 0.500
Fe 0.697 0.303 0.500
Pd 0.067 0.308 0.500
Pd 0.223 0.777 0.000
Pd 0.308 0.067 0.500
Pd 0.500 0.500 0.500
Pd 0.692 0.933 0.500
Pd 0.777 0.223 0.000
Pd 0.933 0.692 0.500
CELL_PARAMETERS angstrom
3.611 -6.207 0.000
3.611 6.207 0.000
0.000 0.000 4.432
! energy of formation = 119 meV per atom
! size of the total moment = 0.79 μB/atom
! D(E_F) = 0.76 states/eV/atom
! electronic total energy = -56.72 eV/cell